(1)
Density functional theory data (PBE-GGA) for a relaxed structure of TiNbSn2.

Summary:
The total magnetization is 0.0 Bohr magnetons per cell. As for the energy above the most stable polymorph in this dataset: 0 meV/atom. The calculation puts the total energy at -26.2 eV per cell. Its formation energy is -0.050 eV/atom.

a = 3.1718 Å, b = 3.1718 Å, c = 9.4628 Å
α = 80.35°, β = 80.35°, γ = 60.00°
Closest atoms and distances in Å follow each position.
Positions (direct):
Ti (0.5007, 0.5007, 0.4980)  6 Sn 2.92-2.96, 6 Ti 3.17
Nb (0.6663, 0.6663, 0.0012)  6 Sn 2.97-2.98, 6 Nb 3.17
Sn (0.0839, 0.0839, 0.7483)  3 Ti 2.96, 3 Nb 2.98, 6 Sn 3.17
Sn (0.2492, 0.2492, 0.2525)  3 Ti 2.92, 3 Nb 2.97, 6 Sn 3.17

***

(2)
Density functional theory data (PBE-GGA) for a relaxed structure of Ti4Nb4Sn3.

Summary:
The total magnetization is 0.0 Bohr magnetons per cell. The calculation puts the total energy at -86.4 eV per cell. Its formation energy is -0.227 eV/atom.

a = 3.4738 Å, b = 3.4698 Å, c = 19.1273 Å
α = 84.89°, β = 63.06°, γ = 90.01°
Closest atoms and distances in Å follow each position.
Positions (direct):
Ti (0.7382, 0.5475, 0.9046)  4 Nb 2.82-2.83, 5 Sn 2.94-2.99
Ti (0.2619, 0.4526, 0.0954)  4 Nb 2.82-2.83, 5 Sn 2.94-2.99
Ti (0.0858, 0.8189, 0.3664)  6 Nb 2.86-3.20, 4 Sn 2.93
Ti (0.9142, 0.1811, 0.6336)  6 Nb 2.86-3.20, 4 Sn 2.93
Nb (0.4441, 0.0881, 0.8223)  4 Ti 2.82-2.83, 5 Sn 2.93-3.01
Nb (0.3656, 0.2744, 0.4540)  5 Ti 2.86-3.05, 4 Nb 2.90-2.92, 1 Sn 3.09
Nb (0.6344, 0.7256, 0.5460)  5 Ti 2.86-3.05, 4 Nb 2.90-2.92, 1 Sn 3.09
Nb (0.5560, 0.9119, 0.1777)  4 Ti 2.82-2.83, 5 Sn 2.93-3.02
Sn (0.1784, 0.6348, 0.7283)  5 Nb 2.93-3.09, 5 Ti 2.93-2.99
Sn (0.8216, 0.3653, 0.2717)  5 Nb 2.93-3.09, 5 Ti 2.93-2.99
Sn (0.0001, 0.0000, 0.0000)  8 Ti 2.94, 2 Nb 3.01-3.02

***

(3)
Density functional theory data (PBE-GGA) for a relaxed structure of TiNbSn2.

Summary:
The total magnetization is 0.0 Bohr magnetons per cell. As for the energy above the most stable polymorph in this dataset: 49 meV/atom. The calculation puts the total energy at -26.0 eV per cell. Its formation energy is -0.002 eV/atom.

a = 3.1477 Å, b = 3.1477 Å, c = 9.6085 Å
α = 80.57°, β = 80.57°, γ = 60.00°
Closest atoms and distances in Å follow each position.
Positions (direct):
Nb (0.5000, 0.5000, 0.5000)  6 Sn 3.00, 6 Nb 3.15
Sn (0.7491, 0.7491, 0.7528)  3 Ti 2.96, 3 Nb 3.00, 6 Sn 3.15
Sn (0.2509, 0.2509, 0.2472)  3 Ti 2.96, 3 Nb 3.00, 6 Sn 3.15
Ti (0.0000, 0.0000, 0.0000)  6 Sn 2.96, 6 Ti 3.15

***

(4)
Density functional theory data (PBE-GGA) for a relaxed structure of Ti7NbSn3.

Summary:
The total magnetization is 0.0 Bohr magnetons per cell. The calculation puts the total energy at -76.2 eV per cell. Its formation energy is 0.103 eV/atom.

a = 4.8627 Å, b = 7.0851 Å, c = 7.0851 Å
α = 87.28°, β = 110.07°, γ = 110.07°
Closest atoms and distances in Å follow each position.
Positions (direct):
Ti (0.1977, 0.1981, 0.1981)  1 Nb 2.73, 4 Sn 2.83-3.02, 2 Ti 2.87
Ti (0.3080, 0.0321, 0.5839)  3 Ti 2.70-2.87, 4 Sn 2.79-2.99
Ti (0.6920, 0.4161, 0.9679)  3 Ti 2.70-2.87, 4 Sn 2.79-2.99
Ti (0.3080, 0.5839, 0.0321)  3 Ti 2.70-2.87, 4 Sn 2.79-2.99
Ti (0.0000, 0.5000, 0.5000)  2 Nb 2.43, 2 Sn 2.69
Ti (0.6920, 0.9679, 0.4161)  3 Ti 2.70-2.87, 4 Sn 2.79-2.99
Ti (0.8023, 0.8019, 0.8019)  1 Nb 2.73, 4 Sn 2.83-3.02, 2 Ti 2.87
Nb (0.5000, 0.5000, 0.5000)  2 Ti 2.43
Sn (0.0000, 0.7752, 0.2248)  9 Ti 2.69-2.99
Sn (0.5000, 0.0000, 0.0000)  8 Ti 2.79-3.02
Sn (0.0000, 0.2248, 0.7752)  9 Ti 2.69-2.99

***

(5)
Density functional theory data (PBE-GGA) for a relaxed structure of Ti6NbSn.

Summary:
The total magnetization is 0.0 Bohr magnetons per cell. As for the energy above the most stable polymorph in this dataset: 166 meV/atom. The calculation puts the total energy at -60.7 eV per cell. Its formation energy is 0.096 eV/atom.

a = 5.8073 Å, b = 5.8073 Å, c = 5.8073 Å
α = 110.24°, β = 110.24°, γ = 110.24°
Closest atoms and distances in Å follow each position.
Positions (direct):
Ti (0.2567, 0.7484, 0.2567)  1 Nb 2.74, 6 Ti 2.75-2.96, 1 Sn 2.84
Ti (0.2567, 0.2567, 0.7484)  1 Nb 2.74, 6 Ti 2.75-2.96, 1 Sn 2.84
Ti (0.7433, 0.2516, 0.7433)  1 Nb 2.74, 6 Ti 2.75-2.96, 1 Sn 2.84
Ti (0.2516, 0.7433, 0.7433)  1 Nb 2.74, 6 Ti 2.75-2.96, 1 Sn 2.84
Ti (0.7433, 0.7433, 0.2516)  1 Nb 2.74, 6 Ti 2.75-2.96, 1 Sn 2.84
Ti (0.7484, 0.2567, 0.2567)  1 Nb 2.74, 6 Ti 2.75-2.96, 1 Sn 2.84
Nb (0.5000, 0.5000, 0.5000)  6 Ti 2.74, 2 Sn 2.79
Sn (0.0000, 0.0000, 0.0000)  2 Nb 2.79, 6 Ti 2.84

***

(6)
Density functional theory data (PBE-GGA) for a relaxed structure of Ti7Nb2Sn3.

Summary:
The total magnetization is 0.0 Bohr magnetons per cell. The calculation puts the total energy at -87.1 eV per cell. Its formation energy is 0.029 eV/atom.

a = 2.9362 Å, b = 4.8587 Å, c = 16.2859 Å
α = 104.90°, β = 90.00°, γ = 90.00°
Closest atoms and distances in Å follow each position.
Positions (direct):
Ti (0.5000, 0.0316, 0.8184)  6 Ti 2.83-2.97, 2 Nb 2.89-3.03
Ti (0.5000, 0.9684, 0.1816)  6 Ti 2.83-2.97, 2 Nb 2.89-3.03
Ti (0.5000, 0.7128, 0.4573)  1 Nb 2.64, 4 Ti 2.77-2.94
Ti (0.5000, 0.2872, 0.5427)  1 Nb 2.64, 4 Ti 2.77-2.94
Ti (0.0000, 0.0000, 0.0000)  4 Ti 2.67-2.94, 4 Sn 2.84
Ti (0.0000, 0.5822, 0.8572)  7 Ti 2.67-2.97, 2 Nb 2.74, 2 Sn 2.86
Ti (0.0000, 0.4178, 0.1428)  7 Ti 2.67-2.97, 2 Nb 2.74, 2 Sn 2.86
Nb (0.5000, 0.5789, 0.2894)  4 Ti 2.64-2.89, 2 Nb 2.94
Nb (0.5000, 0.4211, 0.7106)  4 Ti 2.64-2.89, 2 Nb 2.94
Sn (0.0000, 0.8547, 0.6282)  2 Sn 2.94, 6 Ti 3.06-3.16, 4 Nb 3.10-3.14
Sn (0.0000, 0.1453, 0.3718)  2 Sn 2.94, 6 Ti 3.06-3.16, 4 Nb 3.10-3.14
Sn (0.5000, 0.5000, 0.0000)  8 Ti 2.84-2.86, 2 Sn 2.94

***

(7)
Density functional theory data (PBE-GGA) for a relaxed structure of Ti3Nb3Sn.

Summary:
The total magnetization is 0.0 Bohr magnetons per cell. As for the energy above the most stable polymorph in this dataset: 0 meV/atom. The calculation puts the total energy at -115.8 eV per cell. Its formation energy is -0.001 eV/atom.

a = 4.8158 Å, b = 7.8969 Å, c = 7.8969 Å
α = 120.00°, β = 90.00°, γ = 90.00°
Closest atoms and distances in Å follow each position.
Positions (direct):
Ti (0.7500, 0.1645, 0.2496)  4 Nb 2.83-3.07, 1 Sn 2.87, 6 Ti 2.97-3.01
Ti (0.7500, 0.0851, 0.8355)  4 Nb 2.83-3.07, 1 Sn 2.87, 6 Ti 2.97-3.01
Ti (0.2500, 0.2496, 0.0851)  4 Nb 2.83-3.07, 1 Sn 2.87, 6 Ti 2.97-3.01
Ti (0.7500, 0.7504, 0.9149)  4 Nb 2.83-3.07, 1 Sn 2.87, 6 Ti 2.97-3.01
Ti (0.2500, 0.9149, 0.1645)  4 Nb 2.83-3.07, 1 Sn 2.87, 6 Ti 2.97-3.01
Ti (0.2500, 0.8355, 0.7504)  4 Nb 2.83-3.07, 1 Sn 2.87, 6 Ti 2.97-3.01
Nb (0.7500, 0.4944, 0.0941)  4 Ti 2.83-3.07, 4 Nb 2.85-2.92, 3 Sn 2.94-2.95
Nb (0.7500, 0.5997, 0.5056)  4 Ti 2.83-3.07, 4 Nb 2.85-2.92, 3 Sn 2.94-2.95
Nb (0.2500, 0.0941, 0.5997)  4 Ti 2.83-3.07, 4 Nb 2.85-2.92, 3 Sn 2.94-2.95
Nb (0.7500, 0.9059, 0.4003)  4 Ti 2.83-3.07, 4 Nb 2.85-2.92, 3 Sn 2.94-2.95
Nb (0.2500, 0.4003, 0.4944)  4 Ti 2.83-3.07, 4 Nb 2.85-2.92, 3 Sn 2.94-2.95
Nb (0.2500, 0.5056, 0.9059)  4 Ti 2.83-3.07, 4 Nb 2.85-2.92, 3 Sn 2.94-2.95
Sn (0.2500, 0.6667, 0.3333)  3 Ti 2.87, 9 Nb 2.94-2.95
Sn (0.7500, 0.3333, 0.6667)  3 Ti 2.87, 9 Nb 2.94-2.95

***

(8)
Density functional theory data (PBE-GGA) for a relaxed structure of Ti6NbSn2.

Summary:
The total magnetization is 0.0 Bohr magnetons per cell. The calculation puts the total energy at -65.9 eV per cell. Its formation energy is -0.045 eV/atom.

a = 4.8120 Å, b = 7.2710 Å, c = 7.2710 Å
α = 45.05°, β = 70.71°, γ = 70.71°
Closest atoms and distances in Å follow each position.
Positions (direct):
Ti (0.3920, 0.3389, 0.8759)  3 Ti 2.58-2.74
Ti (0.2099, 0.7901, 0.7901)  1 Nb 2.63, 2 Ti 2.74, 2 Sn 2.87
Ti (0.3920, 0.8759, 0.3389)  3 Ti 2.58-2.74
Ti (0.6080, 0.6611, 0.1241)  3 Ti 2.58-2.74
Ti (0.7901, 0.2099, 0.2099)  1 Nb 2.63, 2 Ti 2.74, 2 Sn 2.87
Ti (0.6080, 0.1241, 0.6611)  3 Ti 2.58-2.74
Nb (0.0000, 0.0000, 0.0000)  2 Ti 2.63
Sn (0.8461, 0.6534, 0.6534)  8 Ti 2.87-2.96
Sn (0.1539, 0.3466, 0.3466)  8 Ti 2.87-2.96